# 1
DFT (PBE) results for a geometry-optimized PuGe2Pt4 structure.

Geometry as CIF:
```
data_PuGe2Pt4
_cell_length_a 16.516
_cell_length_b 4.386
_cell_length_c 6.807
_cell_angle_alpha 90.00
_cell_angle_beta 90.00
_cell_angle_gamma 90.00
_symmetry_space_group_name_H-M 'P n m a'
_symmetry_Int_Tables_number 62
loop_
_symmetry_equiv_pos_as_xyz
'x,y,z'
'-x,-y,-z'
'-x+1/2,-y,z+1/2'
'x+1/2,y,-z+1/2'
'x+1/2,-y+1/2,-z+1/2'
'-x+1/2,y+1/2,z+1/2'
'-x,y+1/2,-z'
'x,-y+1/2,z'
loop_
_atom_site_label
_atom_site_fract_x
_atom_site_fract_y
_atom_site_fract_z
_atom_site_occupancy
Pu1 0.134 0.250 0.029 1
Ge1 0.031 0.750 0.194 1
Ge2 0.215 0.250 0.607 1
Pt1 0.046 0.750 0.784 1
Pt2 0.070 0.250 0.520 1
Pt3 0.165 0.750 0.375 1
Pt4 0.221 0.750 0.785 1
```

Summary:
energy	-7.399	eV/atom
E above lowest polymorph	0.000	eV per formula unit

# 2
DFT (PBE) results for a geometry-optimized Pu2Ge3Pt structure.

Geometry as CIF:
```
data_Pu2Ge3Pt
_cell_length_a 10.615
_cell_length_b 4.405
_cell_length_c 6.778
_cell_angle_alpha 90.00
_cell_angle_beta 129.39
_cell_angle_gamma 90.00
_symmetry_space_group_name_H-M 'C 1 m 1'
_symmetry_Int_Tables_number 8
loop_
_symmetry_equiv_pos_as_xyz
'x,y,z'
'x,-y,z'
'x+1/2,y+1/2,z'
'x+1/2,-y+1/2,z'
loop_
_atom_site_label
_atom_site_fract_x
_atom_site_fract_y
_atom_site_fract_z
_atom_site_occupancy
Pu1 0.000 0.000 0.000 1
Pu2 0.105 0.000 0.625 1
Ge1 0.227 0.500 0.039 1
Ge2 0.374 0.000 0.569 1
Ge3 0.421 0.000 0.215 1
Pt1 0.222 0.500 0.419 1
```

Summary:
energy	-8.652	eV/atom
E above lowest polymorph	0.000	eV per formula unit

# 3
DFT (PBE) results for a geometry-optimized PuGePt6 structure.

Geometry as CIF:
```
data_PuGePt6
_cell_length_a 5.3956
_cell_length_b 5.3956
_cell_length_c 19.9640
_cell_angle_alpha 90.00
_cell_angle_beta 90.00
_cell_angle_gamma 120.00
_symmetry_space_group_name_H-M 'R -3 m'
_symmetry_Int_Tables_number 166
_symmetry_space_group_name_Hall '-R 3 2"'
loop_
_atom_site_label
_atom_site_fract_x
_atom_site_fract_y
_atom_site_fract_z
_atom_site_occupancy
Pu1 0.0000 0.0000 0.0000 1
Ge1 0.0000 0.0000 0.5000 1
Pt1 0.0063 0.5032 0.9287 1
```

Summary:
energy	-7.195	eV/atom

Asked for energy of formation from the pure elements across the records above, the calculation gives -392, -324, -228 kJ/mol of formula units in order.